Cs4PuO6 | Alexandria | PBE | relaxed; energy relative to the elements, uncorrected = -1897 meV/atom; space group = No. 167; magnetization = 0.000 μB per atom
1.0
8.2429 0.0971 -0.1672
0.1658 8.2418 -0.1672
-0.0979 -0.0971 8.2441
O Cs Pu
12 8 2
Cartesian
4.5703 2.2554 4.5173 O
4.7022 3.6904 2.0882 O
3.6086 4.5514 5.8215 O
1.9299 7.7143 7.5144 O
0.5659 1.8655 0.4102 O
6.3809 0.5276 0.3952 O
6.0256 4.6712 4.3650 O
3.7405 5.9865 3.3924 O
7.7191 0.5503 6.2102 O
0.5917 7.6915 1.6995 O
7.7449 6.3763 7.4995 O
2.2852 3.5706 3.5446 O
0.9788 6.1328 4.8925 Cs
2.1512 5.0486 0.7705 Cs
6.1596 3.1933 7.1392 Cs
6.2821 6.2299 1.8102 Cs
5.1097 7.3142 5.9323 Cs
3.2011 0.9277 1.9774 Cs
7.3320 2.1090 3.0172 Cs
2.0287 2.0119 6.0994 Cs
4.1554 4.1209 3.9548 Pu
0.0000 0.0000 0.0000 Pu